This record from the Alexandria database describes an optimized crystal structure of Dy3Ho3Er2. The functional is PBE.

a = 6.384 Å, b = 6.384 Å, c = 6.384 Å
α = 90.08°, β = 90.08°, γ = 89.92°
Last column: magnetic moment on the atom in μB.
Positions (direct):
Dy 0.250 0.750 0.500  0.60
Dy 0.500 0.250 0.250  0.60
Dy 0.750 0.500 0.750  0.60
Ho 0.249 0.751 0.000  0.60
Ho 0.000 0.249 0.249  0.60
Ho 0.751 0.000 0.751  0.60
Er 0.250 0.250 0.750  0.78
Er 0.750 0.750 0.250  0.78

Properties
energy of formation: 6.04 kcal/mol of atoms